Entry 1:
InRu2, optimized geometry, DFT PBE; energy relative to the elements = 0.3923 eV per atom
1.0
7.670 0.000 0.000
-3.835 6.642 0.000
0.000 0.000 2.849
In Ru
3 6
Cartesian
0.000 0.000 0.000
0.000 4.428 1.425
3.835 2.214 1.425
-1.182 2.048 1.425
-2.457 4.256 0.000
2.364 0.000 1.425
1.377 2.386 0.000
4.915 0.000 0.000
2.653 4.594 1.425

***

Entry 2:
In3Ru, optimized geometry, DFT PBE; energy relative to the elements = 0.2410 eV per atom
1.0
3.306 0.000 0.000
0.000 4.859 0.000
0.000 0.000 5.067
In Ru
3 1
Cartesian
0.000 0.000 0.000
0.000 2.430 1.763
1.653 0.000 2.659
1.653 2.430 4.197

***

Entry 3:
In3Ru, optimized geometry, DFT PBE; energy relative to the elements = 0.3999 eV per atom
1.0
0.000 3.461 3.461
3.461 0.000 3.461
3.461 3.461 0.000
In Ru
3 1
Cartesian
0.000 0.000 0.000
1.731 1.731 1.731
5.192 5.192 5.192
3.461 3.461 3.461

***

Entry 4:
In3Ru, optimized geometry, DFT PBE; energy relative to the elements = 0.2986 eV per atom
1.0
4.293 0.000 0.000
0.000 4.293 0.000
0.000 0.000 4.293
In Ru
3 1
Cartesian
0.000 0.000 2.146
0.000 2.146 0.000
2.146 0.000 0.000
2.146 2.146 2.146

***

Entry 5:
In3Ru, optimized geometry, DFT PBE; energy relative to the elements = -0.1487 eV per atom
1.0
7.084 0.000 0.000
0.000 7.084 0.000
0.000 0.000 7.346
In Ru
12 4
Cartesian
0.000 3.542 0.000
0.000 3.542 3.673
1.104 1.104 1.742
1.104 1.104 5.603
2.438 4.647 1.930
2.438 4.647 5.415
3.542 0.000 0.000
3.542 0.000 3.673
4.647 2.438 1.930
4.647 2.438 5.415
5.980 5.980 1.742
5.980 5.980 5.603
1.097 5.987 0.000
2.445 2.445 3.673
4.639 4.639 3.673
5.987 1.097 0.000

***

Entry 6:
In3Ru, optimized geometry, DFT PBE; energy relative to the elements = 0.1463 eV per atom
1.0
4.507 0.000 0.000
0.000 5.938 0.000
0.000 0.000 6.280
In Ru
6 2
Cartesian
1.127 0.030 0.960
1.127 2.939 0.960
1.127 4.454 3.645
3.380 1.485 2.635
3.380 2.999 5.321
3.380 5.908 5.321
1.127 1.485 4.691
3.380 4.454 1.589

***

Entry 7:
In2RuS, optimized geometry, DFT PBE; energy relative to the elements, uncorrected = 0.45 eV per atom
1.0
-3.125 3.125 5.746
3.125 -3.125 5.746
3.125 3.125 -5.746
In Ru S
4 2 2
Cartesian
4.687 1.525 -1.436
1.525 1.562 1.436
-1.562 1.600 4.309
1.600 1.562 7.182
0.000 0.000 0.000
0.000 3.125 2.873
3.125 0.000 2.873
0.000 0.000 5.746

***

Entry 8:
InRu2S, optimized geometry, DFT PBE; ΔE to the lowest computed polymorph = 301 meV per atom; energy relative to the elements, uncorrected = 0.44 eV per atom
1.0
0.000 3.142 3.142
3.142 0.000 3.142
3.142 3.142 0.000
In Ru S
1 2 1
Cartesian
0.000 0.000 0.000
1.571 1.571 1.571
4.713 4.713 4.713
3.142 3.142 3.142

***

Entry 9:
InRu2S, optimized geometry, DFT PBE; ΔE to the lowest computed polymorph = 0 meV per atom; energy relative to the elements, uncorrected = 0.14 eV per atom
1.0
-3.432 3.432 2.911
3.432 -3.432 2.911
3.432 3.432 -2.911
In Ru S
2 4 2
Cartesian
0.000 0.000 0.000
0.000 3.432 1.455
1.716 2.309 -0.728
4.555 1.716 0.728
1.716 1.123 2.183
-1.123 1.716 3.638
3.432 0.000 1.455
0.000 0.000 2.911

***

Entry 10:
Sr2InRuS, optimized geometry, DFT PBE; energy relative to the elements, uncorrected = 0.79 eV per atom
1.0
6.260 0.000 0.000
0.000 6.260 0.000
0.000 0.000 4.895
Sr In Ru S
2 1 1 1
Cartesian
0.000 3.130 0.000
3.130 0.000 0.000
0.000 0.000 0.000
3.130 3.130 2.447
0.000 0.000 2.447

***

Entry 11:
TiInRu2S, optimized geometry, DFT PBE; energy relative to the elements, uncorrected = -0.05 eV per atom
1.0
4.406 0.000 0.000
0.000 4.406 0.000
0.000 0.000 4.413
Ti In Ru S
1 1 2 1
Cartesian
0.000 0.000 0.000
2.203 2.203 0.000
0.000 2.203 2.206
2.203 0.000 2.206
0.000 0.000 2.206

***

Entry 12:
In3SbRu, optimized geometry, DFT PBE; ΔE to the lowest computed polymorph = 0 meV per atom; energy relative to the elements, uncorrected = 0.30 eV per atom
1.0
5.180 0.000 0.000
0.000 5.180 0.000
0.000 0.000 5.180
In Sb Ru
3 1 1
Cartesian
0.000 0.000 2.590
0.000 2.590 0.000
2.590 0.000 0.000
2.590 2.590 2.590
0.000 0.000 0.000